(1)
Computed, not measured: MgCuAu2 after structural relaxation at the PBE level of DFT.

Values from the calculation:
DFT formation energy = -0.15 eV/atom
uncorrected energy = -3.22 eV per atom

Cell: 8.718 8.718 8.718 Å, 20.06 20.06 20.06°
Positions (direct):
Au 0.997 0.997 0.997
Au 0.503 0.503 0.503
Cu 0.250 0.250 0.250
Mg 0.750 0.750 0.750

---

(2)
Computed, not measured: Ba8Bi3I4Br after structural relaxation at the PBE level of DFT.

Values from the calculation:
ΔE_f (raw) = -1351 meV/atom
uncorrected energy = -3.53 eV per atom

Cell: 10.130 10.110 10.131 Å, 120.07 120.00 90.00°
Positions (direct):
Ba 0.246 0.729 0.983
Ba 0.246 0.729 0.493
Ba 0.257 0.272 0.514
Ba 0.736 0.729 0.983
Ba 0.264 0.271 0.017
Ba 0.743 0.728 0.486
Ba 0.754 0.271 0.507
Ba 0.754 0.271 0.017
Bi 0.500 0.500 0.000
Bi 0.500 0.500 0.500
Bi 0.000 0.500 0.500
I 0.500 0.000 0.000
I 0.500 0.000 0.500
I 0.000 0.000 0.000
I 0.000 0.000 0.500
Br 0.000 0.500 0.000

---

Values for volume, A^3/atom, ordered as above
17.05; 45.81